Material: Sr3UCu2O8
Method: DFT, GGA-PBE
State: relaxed

Cell: 5.7861 5.7861 7.4932 Å, 90.00 90.00 120.00°
Space group P-3m1 (No. 164)
Symmetry-distinct sites (fractional):
Sr 0.0000 0.0000 0.0000 x1
Sr 0.3333 0.6667 0.6396 x2
U 0.0000 0.0000 0.5000 x1
Cu 0.3333 0.6667 0.1822 x2
O 0.1670 0.3339 0.3359 x6
O 0.3333 0.6667 0.9440 x2

N(E_F) in states/eV per cell: 11.49
ΔE_f (raw) in kJ/mol of atoms: -206